(1)
Entry from Alexandria: a geometry-optimized U2PaP4 structure (PBE).

Calculated values
- Symmetry: Cmcm, No. 63
- Uncorrected energy: -8.473 eV/atom
- Size of the total moment: 0.624 μB per atom
- ΔH_f (0 K): -0.799 eV per atom

a b c (Å): 3.8869 6.8063 12.4155
angles (deg): 90.00 90.00 106.59
Each line ends with the local moment (μB).
Fractional positions:
U  0.1351  0.2701  0.4358  1.82
U  0.1351  0.2701  0.0642  1.82
U  0.8649  0.7299  0.5642  1.82
U  0.8649  0.7299  0.9358  1.82
P  0.9672  0.9343  0.7500  -0.04
P  0.0328  0.0657  0.2500  -0.04
P  0.5000  0.0000  0.5000  -0.07
P  0.5000  0.0000  0.0000  -0.07
P  0.2300  0.4600  0.8675  -0.06
P  0.7700  0.5400  0.3675  -0.06
P  0.2300  0.4600  0.6325  -0.06
P  0.7700  0.5400  0.1325  -0.06
Pa  0.6150  0.2299  0.7500  0.39
Pa  0.3850  0.7701  0.2500  0.39

(2)
Entry from Alexandria: a geometry-optimized UPa2P structure (PBE).

Calculated values
- Symmetry: P4/mmm, No. 123
- Uncorrected energy: -9.194 eV/atom
- Size of the total moment: 0.302 μB per atom
- Offset from the most stable computed form: 36.9 meV per atom
- ΔH_f (0 K): -0.271 eV per atom

a b c (Å): 3.3451 5.0556 5.0556
angles (deg): 90.00 90.00 90.00
Each line ends with the local moment (μB).
Fractional positions:
P  0.5000  0.5000  0.5000  -0.01
Pa  0.0000  0.0000  0.5000  0.13
Pa  0.0000  0.5000  0.0000  0.13
U  0.5000  0.0000  0.0000  0.91

(3)
Entry from Alexandria: a geometry-optimized U2PaP structure (PBE).

Calculated values
- Symmetry: Fm-3m, No. 225
- Uncorrected energy: -9.400 eV/atom
- Size of the total moment: 0.000 μB per atom
- Offset from the most stable computed form: 426.4 meV per atom
- ΔH_f (0 K): -0.030 eV per atom

a b c (Å): 4.7983 4.7983 4.7977
angles (deg): 60.00 60.00 60.00
Fractional positions:
U  0.7501  0.7501  0.7496
U  0.2499  0.2499  0.2504
Pa  0.5000  0.5000  0.5000
P  0.0000  0.0000  0.0000

(4)
Entry from Alexandria: a geometry-optimized U5PaP6 structure (PBE).

Calculated values
- Symmetry: C2/m, No. 12
- Uncorrected energy: -9.222 eV/atom
- Size of the total moment: 0.822 μB per atom
- ΔH_f (0 K): -1.022 eV per atom

a b c (Å): 6.8127 6.8171 6.8260
angles (deg): 60.04 80.38 70.45
Each line ends with the local moment (μB).
Fractional positions:
Pa  0.0000  0.0000  0.0000  0.07
P  0.7492  0.7489  0.0000  -0.06
P  0.2510  0.5816  0.3347  -0.06
P  0.2508  0.2511  0.0000  -0.06
P  0.7490  0.0837  0.3347  -0.06
P  0.2510  0.9163  0.6653  -0.06
P  0.7490  0.4184  0.6653  -0.06
U  0.5000  0.1664  0.6672  1.81
U  0.0000  0.6666  0.6667  1.80
U  0.5000  0.5000  0.0000  1.81
U  0.0000  0.3334  0.3333  1.80
U  0.5000  0.8336  0.3328  1.81

(5)
Entry from Alexandria: a geometry-optimized U3Pa5P8 structure (PBE).

Calculated values
- Symmetry: R-3m, No. 166
- Uncorrected energy: -8.978 eV/atom
- Size of the total moment: 0.413 μB per atom
- ΔH_f (0 K): -1.189 eV per atom

a b c (Å): 7.8890 7.8890 7.9418
angles (deg): 60.22 60.22 60.00
Each line ends with the local moment (μB).
Fractional positions:
P  0.7500  0.7500  0.2517  -0.03
P  0.7500  0.2484  0.2517  -0.03
P  0.2500  0.2500  0.7483  -0.03
P  0.7509  0.7509  0.7474  -0.04
P  0.2491  0.2491  0.2526  -0.04
P  0.7516  0.2500  0.7483  -0.03
P  0.2484  0.7500  0.2517  -0.03
P  0.2500  0.7516  0.7483  -0.03
U  0.5000  0.0000  0.5000  1.88
U  0.0000  0.5000  0.5000  1.88
U  0.0000  0.0000  0.5000  1.88
Pa  0.0000  0.5000  0.0000  0.11
Pa  0.0000  0.0000  0.0000  0.02
Pa  0.5000  0.5000  0.0000  0.11
Pa  0.5000  0.0000  0.0000  0.11
Pa  0.5000  0.5000  0.5000  0.07

(6)
Entry from Alexandria: a geometry-optimized U2PaP structure (PBE).

Calculated values
- Symmetry: P4/mmm, No. 123
- Uncorrected energy: -9.827 eV/atom
- Size of the total moment: 0.000 μB per atom
- Offset from the most stable computed form: 0.0 meV per atom
- ΔH_f (0 K): -0.456 eV per atom

a b c (Å): 4.3855 4.2096 4.2096
angles (deg): 90.00 90.00 90.00
Fractional positions:
U  0.0000  0.5000  0.0000
U  0.0000  0.0000  0.5000
P  0.5000  0.0000  0.0000
Pa  0.5000  0.5000  0.5000

(7)
Entry from Alexandria: a geometry-optimized UPa2P3 structure (PBE).

Calculated values
- Symmetry: I4/mmm, No. 139
- Uncorrected energy: -8.958 eV/atom
- Size of the total moment: 0.309 μB per atom
- ΔH_f (0 K): -1.207 eV per atom

a b c (Å): 8.8544 8.8544 8.8544
angles (deg): 154.18 154.18 36.84
Each line ends with the local moment (μB).
Fractional positions:
P  0.8338  0.8338  0.0000  -0.01
P  0.5000  0.5000  0.0000  -0.05
P  0.1662  0.1662  0.0000  -0.01
Pa  0.3334  0.3334  0.0000  -0.07
Pa  0.6666  0.6666  0.0000  -0.07
U  0.0000  0.0000  0.0000  1.86

(8)
Entry from Alexandria: a geometry-optimized UPa5P6 structure (PBE).

Calculated values
- Symmetry: C2/m, No. 12
- Uncorrected energy: -8.868 eV/atom
- Size of the total moment: 0.172 μB per atom
- ΔH_f (0 K): -1.265 eV per atom

a b c (Å): 6.8691 6.8691 6.8662
angles (deg): 99.58 99.58 120.03
Each line ends with the local moment (μB).
Fractional positions:
P  0.4152  0.0830  0.2491  -0.01
P  0.0830  0.4152  0.2491  -0.01
P  0.2489  0.2489  0.7503  -0.01
P  0.9170  0.5848  0.7509  -0.01
P  0.5848  0.9170  0.7509  -0.01
P  0.7511  0.7511  0.2497  -0.01
Pa  0.6665  0.3335  0.0000  -0.02
Pa  0.3335  0.6665  0.0000  -0.02
Pa  0.5000  0.5000  0.5000  0.03
Pa  0.1672  0.8328  0.5000  0.03
Pa  0.8328  0.1672  0.5000  0.03
U  0.0000  0.0000  0.0000  1.87

(9)
Entry from Alexandria: a geometry-optimized UPaP2 structure (PBE).

Calculated values
- Symmetry: R3m, No. 160
- Uncorrected energy: -8.874 eV/atom
- Size of the total moment: 0.653 μB per atom
- Offset from the most stable computed form: 173.3 meV per atom
- ΔH_f (0 K): -0.973 eV per atom

a b c (Å): 3.8148 3.8148 7.3601
angles (deg): 74.98 74.98 60.00
Each line ends with the local moment (μB).
Fractional positions:
Pa  0.6701  0.6701  0.9897  0.08
U  0.4962  0.4962  0.5115  2.21
P  0.0831  0.0831  0.7507  -0.04
P  0.2506  0.2506  0.2481  -0.05

(10)
Entry from Alexandria: a geometry-optimized UPa4P5 structure (PBE).

Calculated values
- Symmetry: I4/m, No. 87
- Uncorrected energy: -8.884 eV/atom
- Size of the total moment: 0.199 μB per atom
- ΔH_f (0 K): -1.252 eV per atom

a b c (Å): 5.6033 6.8666 6.8666
angles (deg): 80.42 65.92 65.92
Each line ends with the local moment (μB).
Fractional positions:
P  0.9013  0.3987  0.8008  -0.01
P  0.7021  0.1992  0.3987  -0.01
P  0.1007  0.6013  0.1992  -0.01
P  0.5012  0.0000  0.0000  -0.03
P  0.2999  0.8008  0.6013  -0.01
Pa  0.8010  0.7994  0.6006  -0.01
Pa  0.2010  0.2006  0.3994  -0.01
Pa  0.6004  0.6006  0.2006  -0.01
Pa  0.4016  0.3994  0.7994  -0.01
U  0.0012  0.0000  0.0000  1.87

(11)
Entry from Alexandria: a geometry-optimized UPaP2 structure (PBE).

Calculated values
- Symmetry: Pnma, No. 62
- Uncorrected energy: -8.695 eV/atom
- Size of the total moment: 0.000 μB per atom
- Offset from the most stable computed form: 352.4 meV per atom
- ΔH_f (0 K): -0.794 eV per atom

a b c (Å): 3.7208 6.8830 13.2215
angles (deg): 90.00 90.00 90.00
Fractional positions:
P  0.7500  0.8225  0.9550
P  0.7500  0.3225  0.5450
P  0.7500  0.3509  0.7968
P  0.2500  0.6775  0.4550
P  0.2500  0.1775  0.0450
P  0.2500  0.1491  0.2968
P  0.2500  0.6491  0.2032
P  0.7500  0.8509  0.7032
Pa  0.2500  0.0316  0.8414
Pa  0.2500  0.5316  0.6586
Pa  0.7500  0.9684  0.1586
Pa  0.7500  0.4684  0.3414
U  0.7500  0.9799  0.4369
U  0.2500  0.5201  0.9369
U  0.7500  0.4799  0.0631
U  0.2500  0.0201  0.5631

(12)
Entry from Alexandria: a geometry-optimized UPa2P structure (PBE).

Calculated values
- Symmetry: P4/mmm, No. 123
- Uncorrected energy: -9.231 eV/atom
- Size of the total moment: 0.004 μB per atom
- Offset from the most stable computed form: 0.0 meV per atom
- ΔH_f (0 K): -0.308 eV per atom

a b c (Å): 3.6639 3.6639 6.2008
angles (deg): 90.00 90.00 90.00
Fractional positions:
P  0.5000  0.5000  0.0000
Pa  0.0000  0.0000  0.7573
Pa  0.0000  0.0000  0.2427
U  0.5000  0.5000  0.5000